VASP calculation (PBE+U) on a relaxed structure of ScVF2.

Cell and atoms, written as POSCAR:
```
ScVF2
1.0
1.529 0.883 7.363
-1.529 0.883 7.363
0.000 -1.766 7.363
Sc V F
1 1 2
direct
0.000 0.000 0.000
0.500 0.500 0.500
0.398 0.398 0.398
0.602 0.602 0.602
```

M_tot	0.8568	μB/atom
ΔE to the lowest computed polymorph	0	kJ/mol of formula units
crystal system	trigonal
DOS(E_F)	0.810	states/eV per atom